[1]
Entry from Alexandria: a relaxed structure of Cr2GeH2 (GGA-PBE).

- Electronic total energy: -6.0641 eV per atom
- Calculated volume: 42.70 Å³ per cell

Unit cell a=2.9403 b=2.9403 c=5.3590 alpha=74.08 beta=74.08 gamma=90.00
Element x y z (fractional)
Cr  0.3477  0.3477  0.3045
Cr  0.6523  0.6523  0.6955
Ge  0.0000  0.0000  0.0000
H  0.2500  0.7500  0.5000
H  0.7500  0.2500  0.5000

---

[2]
Entry from Alexandria: a relaxed structure of CrGeH (GGA-PBE).

- Electronic total energy: -5.7950 eV per atom
- Calculated volume: 29.77 Å³ per cell

Unit cell a=3.4279 b=3.1667 c=3.1667 alpha=120.00 beta=90.00 gamma=90.00
Element x y z (fractional)
Ge  0.6665  0.6667  0.3333
H  0.1670  0.3333  0.6667
Cr  0.1665  0.0000  0.0000

---

[3]
Entry from Alexandria: a relaxed structure of Cr2GeH (GGA-PBE).

- Electronic total energy: -6.7157 eV per atom
- Calculated volume: 40.32 Å³ per cell

Unit cell a=2.7710 b=2.7710 c=6.2709 alpha=77.24 beta=77.24 gamma=60.00
Element x y z (fractional)
H  0.0000  0.0000  0.0000
Cr  0.2791  0.2791  0.1627
Cr  0.7209  0.7209  0.8373
Ge  0.5000  0.5000  0.5000

---

[4]
Entry from Alexandria: a relaxed structure of CrGe3H (GGA-PBE).

- Electronic total energy: -4.8235 eV per atom
- Calculated volume: 97.48 Å³ per cell

Unit cell a=4.6023 b=4.6023 c=4.6023 alpha=90.00 beta=90.00 gamma=90.00
Site moments in Bohr magnetons follow the coordinates.
Element x y z (fractional)
Ge  0.5000  0.0000  0.0000  -0.04
Ge  0.0000  0.5000  0.0000  -0.03
Ge  0.0000  0.0000  0.5000  -0.02
Cr  0.0000  0.0000  0.0000  0.61
H  0.5000  0.5000  0.5000  0.22